{"formula": "K3CrF", "functional": "PBE+U", "state": "relaxed", "total_energy_ev_per_atom": -3.270, "de_polymorph_mev_per_atom": 0, "sg": "Pm-3m", "cell": [[5.5694, 0.0000, 0.0000], [0.0000, 5.5694, 0.0000], [0.0000, 0.0000, 5.5694]], "species": ["K", "K", "K", "Cr", "F"], "frac_coords": [[0.0000, 0.0000, 0.5000], [0.0000, 0.5000, 0.0000], [0.5000, 0.0000, 0.0000], [0.5000, 0.5000, 0.5000], [0.0000, 0.0000, 0.0000]]}